No. 1
TaHgSe2: optimized geometry, PBE.

**Symmetry**: R3m (160)
**Crystal system**: trigonal
**E_form (uncorrected)**: -0.009 eV per atom

Cell and atoms, written as POSCAR:
```
TaHgSe2
1.0
-7.007 6.815 -1.348
-7.402 5.036 -4.148
-8.896 4.059 -1.323
Se Ta Hg
2 1 1
Direct
0.018 0.018 0.018
0.226 0.226 0.226
0.501 0.501 0.501
0.755 0.755 0.755
```

No. 2
TaHgSe3: optimized geometry, PBE.

**Symmetry**: Pm-3m (221)
**Crystal system**: cubic
**E_form (uncorrected)**: -0.166 eV per atom
**Energy above the most stable polymorph in this dataset**: 261.5 meV per atom

Cell and atoms, written as POSCAR:
```
TaHgSe3
1.0
-1.583 -4.243 -2.286
3.915 0.271 -3.215
2.811 -2.767 3.189
Se Ta Hg
3 1 1
Direct
0.000 0.000 0.500
0.000 0.500 0.000
0.500 0.000 0.000
0.000 0.000 0.000
0.500 0.500 0.500
```

No. 3
TaHgSe2: optimized geometry, PBE.

**Symmetry**: Cc (9)
**Crystal system**: monoclinic
**E_form (uncorrected)**: -0.389 eV per atom

Cell and atoms, written as POSCAR:
```
TaHgSe2
1.0
10.994 0.000 0.291
2.917 5.704 -1.765
-2.917 5.704 1.765
Ta Se Hg
2 4 2
Direct
0.317 0.330 0.592
0.817 0.908 0.170
0.108 0.248 0.566
0.525 0.305 0.510
0.025 0.990 0.195
0.608 0.934 0.252
0.567 0.618 0.882
0.067 0.618 0.882
```